(1)
# Mg2In3Sn

Mg2In3Sn after structural relaxation (PBE-GGA, Alexandria).

Calculated values
SG   Fmmm, No. 69
Total moment   0.00 μB/f.u.
Volume   300.7 Å³/cell
ρ   5.7 g/cm3
E   -0.0965 hartree per atom

Cell: 4.689 4.689 14.092 Å, 99.89 99.89 88.17°
Fractional coordinates of all 12 atoms:
Sn (0.325, 0.325, 0.649)
Sn (0.675, 0.675, 0.351)
In (0.828, 0.828, 0.656)
Mg (0.750, 0.250, 0.500)
Mg (0.250, 0.750, 0.500)
In (0.172, 0.172, 0.344)
In (0.176, 0.176, 0.846)
Mg (0.750, 0.250, 0.000)
In (0.670, 0.670, 0.846)
In (0.824, 0.824, 0.154)
In (0.330, 0.330, 0.154)
Mg (0.250, 0.750, 0.000)


(2)
# Ta3AsC

Ta3AsC after structural relaxation (PBE-GGA, Alexandria).

Calculated values
SG   Pm-3m, No. 221
Total moment   0.00 μB/f.u.
Volume   78.8 Å³/cell
ρ   13.3 g/cm3
E   -0.3594 hartree per atom

Cell: 4.287 4.287 4.287 Å, 90.00 90.00 90.00°
Fractional coordinates of all 5 atoms:
Ta (0.000, 0.500, 0.000)
Ta (0.000, 0.000, 0.500)
Ta (0.500, 0.000, 0.000)
As (0.500, 0.500, 0.500)
C (0.000, 0.000, 0.000)


(3)
# SrY2Co

SrY2Co after structural relaxation (PBE-GGA, Alexandria).

Calculated values
Relative energy among the computed polymorphs   10.2 kJ/mol of atoms
SG   R-3m, No. 166
Total moment   0.00 μB/f.u.
Volume   139.7 Å³/cell
ρ   3.9 g/cm3
E   -0.1957 hartree per atom

Cell: 3.893 3.893 10.874 Å, 79.69 79.69 60.00°
Fractional coordinates of all 4 atoms:
Sr (0.000, 0.000, 0.000)
Y (0.878, 0.878, 0.365)
Y (0.122, 0.122, 0.635)
Co (0.500, 0.500, 0.500)


(4)
# TcNiPdPt

TcNiPdPt after structural relaxation (PBE-GGA, Alexandria).

Calculated values
SG   P4mm, No. 99
Total moment   0.00 μB/f.u.
Volume   56.4 Å³/cell
ρ   13.5 g/cm3
E   -0.2549 hartree per atom

Cell: 2.714 2.714 7.648 Å, 90.00 90.00 90.00°
Fractional coordinates of all 4 atoms:
Pd (0.000, 0.000, 0.089)
Ni (0.500, 0.500, 0.332)
Tc (0.000, 0.000, 0.554)
Pt (0.500, 0.500, 0.810)


(5)
# PrIn3PdRh

PrIn3PdRh after structural relaxation (PBE-GGA, Alexandria).

Calculated values
SG   Cmcm, No. 63
Total moment   0.00 μB/f.u.
Volume   294.8 Å³/cell
ρ   7.8 g/cm3
E   -0.1699 hartree per atom

Cell: 5.930 8.740 7.173 Å, 127.53 90.00 90.00°
Fractional coordinates of all 12 atoms:
In (0.000, 0.255, 0.000)
Pr (0.750, 0.311, 0.622)
Pr (0.250, 0.689, 0.378)
In (0.500, 0.745, 0.000)
In (0.500, 0.255, 0.000)
In (0.750, 0.818, 0.636)
In (0.250, 0.182, 0.364)
Rh (0.250, 0.418, 0.837)
Pd (0.750, 0.061, 0.121)
In (0.000, 0.745, 0.000)
Pd (0.250, 0.939, 0.879)
Rh (0.750, 0.582, 0.163)


(6)
# Be2OsPt

Be2OsPt after structural relaxation (PBE-GGA, Alexandria).

Calculated values
SG   I4/mmm, No. 139
Total moment   0.66 μB/f.u.
Volume   59.3 Å³/cell
ρ   11.3 g/cm3
E   -0.1957 hartree per atom

Cell: 8.767 5.096 5.096 Å, 42.24 30.68 30.68°
Each line ends with the local moment (μB).
Fractional coordinates of all 4 atoms:
Pt (0.500, 0.000, 0.000)  -0.10
Os (0.000, 0.000, 0.000)  -0.55
Be (0.251, 0.000, 0.000)  0.00
Be (0.749, 0.000, 0.000)  0.00


(7)
# CsRbBa2

CsRbBa2 after structural relaxation (PBE-GGA, Alexandria).

Calculated values
Relative energy among the computed polymorphs   0.1 kJ/mol of atoms
SG   P4/mmm, No. 123
Total moment   0.00 μB/f.u.
Volume   311.6 Å³/cell
ρ   2.6 g/cm3
E   -0.0459 hartree per atom

Cell: 4.500 4.500 15.391 Å, 90.00 90.00 90.00°
Fractional coordinates of all 4 atoms:
Cs (0.500, 0.500, 0.500)
Rb (0.500, 0.500, 0.000)
Ba (0.000, 0.000, 0.241)
Ba (0.000, 0.000, 0.759)


(8)
# Er6TlRu5

Er6TlRu5 after structural relaxation (PBE-GGA, Alexandria).

Calculated values
SG   Cmmm, No. 65
Total moment   0.00 μB/f.u.
Volume   242.6 Å³/cell
ρ   11.7 g/cm3
E   -0.2473 hartree per atom

Cell: 4.839 6.924 7.634 Å, 90.00 108.45 90.00°
Fractional coordinates of all 12 atoms:
Ru (0.336, 0.000, 0.671)
Er (0.826, 0.743, 0.653)
Er (0.500, 0.731, 0.000)
Tl (0.000, 0.000, 0.000)
Er (0.174, 0.257, 0.347)
Ru (0.000, 0.500, 0.000)
Ru (0.666, 0.500, 0.333)
Ru (0.334, 0.500, 0.667)
Er (0.174, 0.743, 0.347)
Er (0.500, 0.269, 0.000)
Er (0.826, 0.257, 0.653)
Ru (0.664, 0.000, 0.329)